Mg10Si3O14F4 | meta-GGA SCAN | PBEsol geometry

Values from the calculation:
Its space-group type is Pnnm, No. 58.

Structure (CIF):
```
data_Mg10Si3O14F4
_cell_length_a 5.052
_cell_length_b 13.980
_cell_length_c 8.663
_cell_angle_alpha 90.00
_cell_angle_beta 90.00
_cell_angle_gamma 90.00
_symmetry_space_group_name_H-M 'P 1'
_symmetry_Int_Tables_number 1
loop_
_symmetry_equiv_pos_as_xyz
'x,y,z'
loop_
_atom_site_label
_atom_site_type_symbol
_atom_site_fract_x
_atom_site_fract_y
_atom_site_fract_z
Mg1 Mg 0.000 0.000 0.154
Mg2 Mg 0.000 0.000 0.846
Mg3 Mg 0.000 0.500 0.183
Mg4 Mg 0.000 0.500 0.817
Mg5 Mg 0.151 0.176 0.320
Mg6 Mg 0.151 0.176 0.680
Mg7 Mg 0.164 0.329 0.000
Mg8 Mg 0.336 0.829 0.500
Mg9 Mg 0.349 0.676 0.180
Mg10 Mg 0.349 0.676 0.820
Mg11 Mg 0.500 0.000 0.317
Mg12 Mg 0.500 0.000 0.683
Mg13 Mg 0.500 0.500 0.346
Mg14 Mg 0.500 0.500 0.654
Mg15 Mg 0.651 0.324 0.180
Mg16 Mg 0.651 0.324 0.820
Mg17 Mg 0.664 0.171 0.500
Mg18 Mg 0.836 0.671 0.000
Mg19 Mg 0.849 0.824 0.320
Mg20 Mg 0.849 0.824 0.680
Si1 Si 0.000 0.000 0.500
Si2 Si 0.009 0.624 0.500
Si3 Si 0.491 0.124 0.000
Si4 Si 0.500 0.500 0.000
Si5 Si 0.509 0.876 0.000
Si6 Si 0.991 0.376 0.500
O1 O 0.008 0.744 0.500
O2 O 0.146 0.927 0.354
O3 O 0.146 0.927 0.646
O4 O 0.172 0.590 0.341
O5 O 0.172 0.590 0.659
O6 O 0.193 0.581 0.000
O7 O 0.213 0.921 0.000
O8 O 0.287 0.421 0.500
O9 O 0.307 0.081 0.500
O10 O 0.328 0.090 0.159
O11 O 0.328 0.090 0.841
O12 O 0.354 0.427 0.146
O13 O 0.354 0.427 0.854
O14 O 0.492 0.244 0.000
O15 O 0.508 0.756 0.000
O16 O 0.646 0.573 0.146
O17 O 0.646 0.573 0.854
O18 O 0.672 0.910 0.159
O19 O 0.672 0.910 0.841
O20 O 0.693 0.919 0.500
O21 O 0.713 0.579 0.500
O22 O 0.787 0.079 0.000
O23 O 0.807 0.419 0.000
O24 O 0.828 0.410 0.341
O25 O 0.828 0.410 0.659
O26 O 0.854 0.073 0.354
O27 O 0.854 0.073 0.646
O28 O 0.992 0.256 0.500
F1 F 0.008 0.742 0.165
F2 F 0.008 0.742 0.835
F3 F 0.492 0.242 0.335
F4 F 0.492 0.242 0.665
F5 F 0.508 0.758 0.335
F6 F 0.508 0.758 0.665
F7 F 0.992 0.258 0.165
F8 F 0.992 0.258 0.835
```


Mg5Si2O8F2 | meta-GGA SCAN | PBEsol geometry

Values from the calculation:
Its space-group type is P2_1/c, No. 14.

Structure (CIF):
```
data_Mg5Si2O8F2
_cell_length_a 7.810
_cell_length_b 4.742
_cell_length_c 10.262
_cell_angle_alpha 90.00
_cell_angle_beta 109.25
_cell_angle_gamma 90.00
_symmetry_space_group_name_H-M 'P 1'
_symmetry_Int_Tables_number 1
loop_
_symmetry_equiv_pos_as_xyz
'x,y,z'
loop_
_atom_site_label
_atom_site_type_symbol
_atom_site_fract_x
_atom_site_fract_y
_atom_site_fract_z
Mg1 Mg 0.000 0.000 0.000
Mg2 Mg 0.000 0.500 0.500
Mg3 Mg 0.198 0.008 0.328
Mg4 Mg 0.198 0.492 0.828
Mg5 Mg 0.420 0.007 0.113
Mg6 Mg 0.420 0.493 0.613
Mg7 Mg 0.580 0.507 0.387
Mg8 Mg 0.580 0.993 0.887
Mg9 Mg 0.802 0.508 0.172
Mg10 Mg 0.802 0.992 0.672
Si1 Si 0.204 0.576 0.144
Si2 Si 0.204 0.924 0.644
Si3 Si 0.796 0.076 0.356
Si4 Si 0.796 0.424 0.856
O1 O 0.025 0.725 0.168
O2 O 0.025 0.775 0.668
O3 O 0.207 0.233 0.146
O4 O 0.207 0.267 0.646
O5 O 0.208 0.722 0.999
O6 O 0.208 0.778 0.499
O7 O 0.376 0.731 0.261
O8 O 0.376 0.769 0.761
O9 O 0.624 0.231 0.239
O10 O 0.624 0.269 0.739
O11 O 0.792 0.222 0.501
O12 O 0.792 0.278 0.001
O13 O 0.793 0.733 0.354
O14 O 0.793 0.767 0.854
O15 O 0.975 0.225 0.332
O16 O 0.975 0.275 0.832
F1 F 0.394 0.223 0.940
F2 F 0.394 0.277 0.440
F3 F 0.606 0.723 0.560
F4 F 0.606 0.777 0.060
```


MgOsF2 | meta-GGA SCAN | PBEsol geometry

Values from the calculation:
Its space-group type is R-3m, No. 166.

Structure (CIF):
```
data_MgOsF2
_cell_length_a 9.534
_cell_length_b 9.534
_cell_length_c 9.534
_cell_angle_alpha 16.45
_cell_angle_beta 16.45
_cell_angle_gamma 16.45
_symmetry_space_group_name_H-M 'P 1'
_symmetry_Int_Tables_number 1
loop_
_symmetry_equiv_pos_as_xyz
'x,y,z'
loop_
_atom_site_label
_atom_site_type_symbol
_atom_site_fract_x
_atom_site_fract_y
_atom_site_fract_z
Mg1 Mg 0.000 0.000 0.000
Os1 Os 0.500 0.500 0.500
F1 F 0.371 0.371 0.371
F2 F 0.629 0.629 0.629
```


Mg3OsF | meta-GGA SCAN | PBEsol geometry

Values from the calculation:
Its space-group type is Pm-3m, No. 221.

Structure (CIF):
```
data_Mg3OsF
_cell_length_a 4.927
_cell_length_b 4.927
_cell_length_c 4.927
_cell_angle_alpha 90.00
_cell_angle_beta 90.00
_cell_angle_gamma 90.00
_symmetry_space_group_name_H-M 'P 1'
_symmetry_Int_Tables_number 1
loop_
_symmetry_equiv_pos_as_xyz
'x,y,z'
loop_
_atom_site_label
_atom_site_type_symbol
_atom_site_fract_x
_atom_site_fract_y
_atom_site_fract_z
Mg1 Mg 0.000 0.000 0.500
Mg2 Mg 0.000 0.500 0.000
Mg3 Mg 0.500 0.000 0.000
Os1 Os 0.000 0.000 0.000
F1 F 0.500 0.500 0.500
```


SrMgOs2F | meta-GGA SCAN | PBEsol geometry

Values from the calculation:
Its space-group type is P4/mmm, No. 123.

Structure (CIF):
```
data_SrMgOs2F
_cell_length_a 4.832
_cell_length_b 4.832
_cell_length_c 6.125
_cell_angle_alpha 90.00
_cell_angle_beta 90.00
_cell_angle_gamma 90.00
_symmetry_space_group_name_H-M 'P 1'
_symmetry_Int_Tables_number 1
loop_
_symmetry_equiv_pos_as_xyz
'x,y,z'
loop_
_atom_site_label
_atom_site_type_symbol
_atom_site_fract_x
_atom_site_fract_y
_atom_site_fract_z
Sr1 Sr 0.000 0.000 0.000
Mg1 Mg 0.000 0.000 0.500
Os1 Os 0.000 0.500 0.000
Os2 Os 0.500 0.000 0.000
F1 F 0.500 0.500 0.500
```


MgP3F | meta-GGA SCAN | PBEsol geometry

Values from the calculation:
Its space-group type is Pm-3m, No. 221.

Structure (CIF):
```
data_MgP3F
_cell_length_a 4.660
_cell_length_b 4.660
_cell_length_c 4.660
_cell_angle_alpha 90.00
_cell_angle_beta 90.00
_cell_angle_gamma 90.00
_symmetry_space_group_name_H-M 'P 1'
_symmetry_Int_Tables_number 1
loop_
_symmetry_equiv_pos_as_xyz
'x,y,z'
loop_
_atom_site_label
_atom_site_type_symbol
_atom_site_fract_x
_atom_site_fract_y
_atom_site_fract_z
Mg1 Mg 0.000 0.000 0.000
P1 P 0.000 0.000 0.500
P2 P 0.000 0.500 0.000
P3 P 0.500 0.000 0.000
F1 F 0.500 0.500 0.500
```


MgPSF2 | meta-GGA SCAN | PBEsol geometry

Values from the calculation:
Its space-group type is P4/mmm, No. 123.

Structure (CIF):
```
data_MgPSF2
_cell_length_a 3.954
_cell_length_b 3.954
_cell_length_c 5.051
_cell_angle_alpha 90.00
_cell_angle_beta 90.00
_cell_angle_gamma 90.00
_symmetry_space_group_name_H-M 'P 1'
_symmetry_Int_Tables_number 1
loop_
_symmetry_equiv_pos_as_xyz
'x,y,z'
loop_
_atom_site_label
_atom_site_type_symbol
_atom_site_fract_x
_atom_site_fract_y
_atom_site_fract_z
Mg1 Mg 0.000 0.000 0.000
P1 P 0.500 0.500 0.500
S1 S 0.500 0.500 0.000
F1 F 0.000 0.500 0.500
F2 F 0.500 0.000 0.500
```


Mg3PbF | meta-GGA SCAN | PBEsol geometry

Values from the calculation:
Its space-group type is Pm-3m, No. 221.

Structure (CIF):
```
data_Mg3PbF
_cell_length_a 5.444
_cell_length_b 5.444
_cell_length_c 5.444
_cell_angle_alpha 90.00
_cell_angle_beta 90.00
_cell_angle_gamma 90.00
_symmetry_space_group_name_H-M 'P 1'
_symmetry_Int_Tables_number 1
loop_
_symmetry_equiv_pos_as_xyz
'x,y,z'
loop_
_atom_site_label
_atom_site_type_symbol
_atom_site_fract_x
_atom_site_fract_y
_atom_site_fract_z
Mg1 Mg 0.000 0.000 0.500
Mg2 Mg 0.000 0.500 0.000
Mg3 Mg 0.500 0.000 0.000
Pb1 Pb 0.000 0.000 0.000
F1 F 0.500 0.500 0.500
```


Number 1: density of states at the Fermi level 0.0 states/eV/cell, electronic total energy -9.0564 eV per atom, M_tot 0.000 μB/atom. Number 2: density of states at the Fermi level 0.0 states/eV/cell, electronic total energy -9.2375 eV per atom, M_tot 0.000 μB/atom. Number 3: density of states at the Fermi level 1.6 states/eV/cell, electronic total energy -22.8185 eV per atom, M_tot 0.167 μB/atom. Number 4: density of states at the Fermi level 3.2 states/eV/cell, electronic total energy -17.7889 eV per atom, M_tot 0.000 μB/atom. Number 5: density of states at the Fermi level 4.0 states/eV/cell, electronic total energy -32.2359 eV per atom, M_tot 0.498 μB/atom. Number 6: density of states at the Fermi level 3.7 states/eV/cell, electronic total energy -7.0003 eV per atom, M_tot 0.000 μB/atom. Number 7: density of states at the Fermi level 2.1 states/eV/cell, electronic total energy -7.4583 eV per atom, M_tot 0.000 μB/atom. Number 8: density of states at the Fermi level 2.4 states/eV/cell, electronic total energy -18.9948 eV per atom, M_tot 0.000 μB/atom.